(1)
The following is a PBE calculation of a relaxed Zn6PdRh2 crystal, from Alexandria via LeMat-Bulk.

Unit cell a=13.1588 b=5.9866 c=4.1413 alpha=90.00 beta=108.27 gamma=90.00
Space group C2/m (No. 12)
Inequivalent atoms, fractional coordinates:
Zn  0.0000  0.2391  0.0000
Zn  0.1682  0.2467  0.6692
Pd  0.0000  0.5000  0.5000
Rh  0.1681  0.0000  0.1692

density of states at the Fermi level = 2.60 states/eV/f.u.
DFT formation energy = -0.16 eV/atom
mass density = 7555 kg/m³

(2)
The following is a PBE calculation of a relaxed Cd2Bi2Pt crystal, from Alexandria via LeMat-Bulk.

Unit cell a=6.3279 b=13.4258 c=6.0087 alpha=90.00 beta=90.00 gamma=90.00
Space group Ibam (No. 72)
Inequivalent atoms, fractional coordinates:
Cd  0.1616  0.0864  0.0000
Bi  0.2077  0.3410  0.0000
Pt  0.0000  0.5000  0.2500

density of states at the Fermi level = 2.27 states/eV/f.u.
E above lowest polymorph = 0.00 eV/f.u.
DFT formation energy = -0.12 eV/atom
mass density = 10902 kg/m³

(3)
The following is a PBE calculation of a relaxed LiPrInSn crystal, from Alexandria via LeMat-Bulk.

Unit cell a=7.4750 b=7.4750 c=7.4750 alpha=90.00 beta=90.00 gamma=90.00
Space group F-43m (No. 216)
Inequivalent atoms, fractional coordinates:
Li  0.0000  0.0000  0.0000
Pr  0.0000  0.0000  0.5000
In  0.2500  0.2500  0.7500
Sn  0.2500  0.2500  0.2500

density of states at the Fermi level = 1.87 states/eV/f.u.
E above lowest polymorph = 0.39 eV/f.u.
DFT formation energy = -0.41 eV/atom
mass density = 6065 kg/m³

(4)
The following is a PBE calculation of a relaxed Sr2CdHg3 crystal, from Alexandria via LeMat-Bulk.

Unit cell a=4.3328 b=4.6873 c=18.6494 alpha=90.00 beta=90.00 gamma=90.00
Space group Imm2 (No. 44)
Inequivalent atoms, fractional coordinates:
Sr  0.0000  0.0000  0.0000
Sr  0.0000  0.5000  0.2401
Cd  0.0000  0.0000  0.4156
Hg  0.0000  0.0000  0.5714
Hg  0.0000  0.5000  0.6610
Hg  0.0000  0.5000  0.8185

density of states at the Fermi level = 3.28 states/eV/f.u.
E above lowest polymorph = 0.35 eV/f.u.
DFT formation energy = -0.40 eV/atom
mass density = 7799 kg/m³

(5)
The following is a PBE calculation of a relaxed Tl2SbAuS4 crystal, from Alexandria via LeMat-Bulk.

Unit cell a=6.6035 b=6.6091 c=7.0208 alpha=107.87 beta=115.04 gamma=102.86
Space group P1 (No. 1)
Inequivalent atoms, fractional coordinates:
Tl  0.0000  0.0000  0.0000
Tl  0.2403  0.7397  0.4999
Sb  0.7272  0.2274  0.5002
Au  0.3858  0.3856  0.0001
S  0.1070  0.5408  0.8493
S  0.4100  0.2799  0.5487
S  0.6932  0.2594  0.1518
S  0.7312  0.8618  0.4510

E_form (uncorrected) = -201 meV/atom
mass density = 5893 kg/m³

(6)
The following is a PBE calculation of a relaxed Nd2TaCrN5 crystal, from Alexandria via LeMat-Bulk.

Unit cell a=3.2924 b=14.1811 c=10.2430 alpha=90.00 beta=90.00 gamma=90.00
Space group Cmc2_1 (No. 36)
Inequivalent atoms, fractional coordinates:
Nd  0.0000  0.1163  0.0000
Nd  0.0000  0.1319  0.6304
Ta  0.0000  0.2088  0.3345
Cr  0.0000  0.4514  0.7554
N  0.0000  0.0386  0.3336
N  0.0000  0.2957  0.9664
N  0.0000  0.3220  0.6944
N  0.0000  0.3434  0.3162
N  0.0000  0.4982  0.0981

density of states at the Fermi level = 2.49 states/eV/f.u.
E_form (uncorrected) = -1088 meV/atom
mass density = 8215 kg/m³

mass density of number 6 (Nd2TaCrN5)?
8215 kg/m³